## 1
LiFe2P2O8 | Alexandria via LeMat-Bulk | meta-GGA SCAN | PBEsol geometry; symmetry = Pca2_1 (29); calculated volume = 683.4 Å³ per cell
1.0
10.098 0.000 0.000
0.000 5.129 0.000
0.000 0.000 13.196
Li Fe P O
4 8 8 32
Cartesian
2.103 0.104 0.000
2.946 0.104 6.598
7.152 5.024 0.000
7.995 5.024 6.598
0.439 2.018 6.597
2.124 0.165 9.827
2.925 0.165 3.229
4.610 2.018 13.195
5.488 3.111 6.597
7.173 4.963 9.827
7.974 4.963 3.229
9.659 3.111 13.195
0.397 4.624 4.894
2.083 2.667 1.709
2.966 2.667 8.307
4.652 4.624 11.491
5.446 0.505 4.894
7.132 2.461 1.709
8.015 2.461 8.307
9.701 0.505 11.491
0.146 3.128 5.124
0.225 4.857 12.703
0.249 0.057 10.174
0.564 2.577 1.496
1.924 4.933 4.872
2.288 1.911 7.111
2.499 2.012 3.029
2.519 4.165 8.281
2.530 4.165 1.683
2.550 2.012 9.627
2.761 1.911 0.513
3.125 4.933 11.470
4.485 2.577 8.094
4.800 0.057 3.576
4.824 4.857 6.105
4.903 3.128 11.722
5.195 2.001 5.124
5.274 0.272 12.703
5.298 5.071 10.174
5.613 2.552 1.496
6.973 0.196 4.872
7.337 3.218 7.111
7.548 3.116 3.029
7.568 0.964 8.281
7.579 0.964 1.683
7.599 3.116 9.627
7.810 3.218 0.513
8.174 0.196 11.470
9.534 2.552 8.094
9.849 5.071 3.576
9.873 0.272 6.105
9.952 2.001 11.722

## 2
LiFe2P2O8 | Alexandria via LeMat-Bulk | meta-GGA SCAN | PBEsol geometry; symmetry = C2 (5); calculated volume = 173.4 Å³ per cell
1.0
3.381 -3.800 0.000
3.381 3.800 0.000
-0.080 0.000 6.749
Li Fe P O
1 2 2 8
Cartesian
0.000 0.000 0.000
3.381 -0.052 0.000
3.341 -3.729 3.375
1.759 1.898 1.701
4.923 1.898 5.048
3.020 1.045 1.489
1.427 -1.090 3.753
1.664 -0.948 6.286
3.661 1.045 5.260
2.822 -2.796 5.010
5.018 -0.948 0.463
5.255 -1.090 2.996
3.860 -2.796 1.739

## 3
LiFe2P2O8 | Alexandria via LeMat-Bulk | meta-GGA SCAN | PBEsol geometry; symmetry = P1 (1); calculated volume = 125.8 Å³ per cell
1.0
4.764 0.000 0.000
1.116 4.869 0.000
1.879 -0.013 5.424
Li Fe P O
1 2 2 8
Cartesian
0.000 0.000 0.000
4.381 0.609 3.301
4.420 2.799 1.840
2.011 2.586 4.033
2.091 0.851 1.081
3.488 2.420 3.492
3.754 0.165 5.149
2.844 2.168 0.998
3.938 4.719 2.046
5.961 3.473 3.035
5.076 3.229 0.004
6.105 1.211 4.126
5.350 1.080 1.571

Relative stability in meV per atom, measured from the most stable structure: 1 0; 2 12; 3 22

## 1
LiFeP3O9 | Alexandria via LeMat-Bulk | meta-GGA SCAN | PBEsol geometry; symmetry = Cc (9); calculated volume = 357.0 Å³ per cell
1.0
5.536 -3.341 0.000
5.536 3.341 0.000
-0.026 0.000 9.651
Li Fe P O
2 2 6 18
Cartesian
5.523 2.392 4.826
5.536 -2.392 0.000
3.538 0.002 4.520
3.525 -0.002 9.345
5.706 0.638 2.178
7.491 1.707 6.944
5.693 -0.638 7.003
8.621 1.044 2.072
7.503 -1.707 2.119
8.608 -1.044 6.897
1.835 0.961 0.778
3.533 1.799 8.222
3.801 1.888 5.644
2.165 0.767 3.320
5.180 1.092 3.509
1.822 -0.961 5.603
2.152 -0.767 8.146
4.817 0.795 0.991
6.138 0.887 7.183
7.066 1.394 1.828
4.804 -0.795 5.817
3.546 -1.799 3.396
3.814 -1.888 0.819
5.167 -1.092 8.334
6.151 -0.887 2.358
8.603 0.565 6.923
7.053 -1.394 6.654
8.616 -0.565 2.098

## 2
LiFeP3O9 | Alexandria via LeMat-Bulk | meta-GGA SCAN | PBEsol geometry; symmetry = R3 (146); calculated volume = 207.7 Å³ per cell
1.0
5.081 2.934 2.322
-5.081 2.934 2.322
0.000 -5.867 2.322
Li Fe P O
1 1 3 9
Cartesian
0.000 0.000 0.000
0.000 0.000 4.424
-2.830 -0.857 3.236
2.157 -2.023 3.236
0.673 2.880 3.236
-3.821 -1.946 3.544
-3.273 0.465 4.061
-1.370 -1.110 3.406
1.234 -3.066 4.061
-0.277 1.742 3.406
1.647 -0.631 3.406
3.596 -2.336 3.544
0.225 4.282 3.544
2.039 2.602 4.061

Relative stability in meV per atom, measured from the most stable structure: 1 0; 2 16

## 1
Li2FeP2O7 | Alexandria via LeMat-Bulk | meta-GGA SCAN | PBEsol geometry; symmetry = P-1 (2); calculated volume = 262.4 Å³ per cell
1.0
4.988 0.000 0.000
-1.975 6.881 0.000
-0.872 -3.539 7.644
Li Fe P O
4 2 4 14
Cartesian
0.241 1.116 0.654
-0.475 2.325 5.440
2.616 1.016 2.204
1.900 2.225 6.991
-0.071 -0.983 2.974
2.212 4.324 4.670
-0.302 3.154 2.724
0.376 5.347 0.887
1.765 -2.006 6.757
2.444 0.187 4.920
-1.621 3.918 3.008
-0.564 1.708 2.343
-1.059 5.914 0.976
-1.146 4.130 5.804
0.311 3.816 1.403
0.058 1.712 7.135
1.464 0.061 3.755
0.677 3.280 3.890
2.083 1.630 0.510
1.831 -0.474 6.241
3.288 -0.788 1.840
3.201 -2.573 6.669
2.705 1.633 5.301
3.762 -0.577 4.637

## 2
Li2FeP2O7 | Alexandria via LeMat-Bulk | meta-GGA SCAN | PBEsol geometry; symmetry = P2_1/c (14); calculated volume = 528.1 Å³ per cell
1.0
5.044 0.000 0.000
0.000 13.336 0.000
-4.670 0.000 7.852
Li Fe P O
8 4 8 28
Cartesian
-1.531 1.415 2.865
-3.866 5.253 6.791
1.322 2.627 1.335
-1.013 4.041 5.261
1.387 9.295 2.591
-0.948 10.708 6.517
4.240 8.082 1.061
1.905 11.921 4.988
-3.302 2.144 5.789
-0.967 4.524 1.863
1.341 8.811 5.989
3.676 11.192 2.063
-1.110 9.009 4.157
1.225 10.994 0.231
-1.225 7.033 6.113
1.110 12.970 2.187
-0.736 0.366 5.666
1.599 6.302 1.740
-0.851 2.341 7.621
1.484 4.326 3.695
-0.698 2.508 1.200
-3.032 4.160 5.126
-2.001 9.726 5.173
0.334 10.277 1.247
-2.726 7.125 6.460
-0.391 12.878 2.534
-1.571 1.422 4.903
0.764 5.246 0.977
-1.157 7.447 4.520
1.178 12.556 0.594
1.010 7.681 1.675
-1.325 12.322 5.601
-2.330 2.746 7.506
0.004 3.921 3.579
0.369 9.414 4.273
2.704 10.589 0.347
1.699 1.014 2.251
-0.636 5.654 6.177
-0.804 0.779 7.258
1.531 5.888 3.332
-0.391 8.089 6.876
1.944 11.914 2.950
0.765 0.457 5.319
3.100 6.211 1.393
0.040 3.058 6.605
2.375 3.610 2.679
3.406 9.176 2.726
1.071 10.828 6.652

Relative stability in meV per atom, measured from the most stable structure: 1 11; 2 0

## 1
Li2FeP2O7 | Alexandria via LeMat-Bulk | meta-GGA SCAN | PBEsol geometry; symmetry = Imma (74); calculated volume = 295.2 Å³ per cell
1.0
-3.099 6.503 3.662
3.099 -6.503 3.662
3.099 6.503 -3.662
Li Fe P O
4 2 4 14
Cartesian
1.549 6.799 -1.831
1.549 0.297 1.831
-1.549 6.206 1.831
1.549 6.206 1.831
-1.549 3.251 1.831
1.549 3.251 1.831
3.099 1.823 -0.378
3.099 4.680 -0.378
0.000 1.823 4.040
0.000 4.680 4.040
3.099 3.251 -1.133
3.099 -0.758 1.439
1.834 1.801 0.515
4.364 1.801 0.515
3.099 5.745 -1.439
1.834 4.702 0.515
1.265 -1.801 4.177
1.834 8.303 -0.515
1.265 1.801 3.147
0.000 0.758 5.101
-1.265 4.702 3.147
1.265 4.702 3.147
0.000 7.261 2.223
0.000 3.251 4.795

## 2
Li2FeP2O7 | Alexandria via LeMat-Bulk | meta-GGA SCAN | PBEsol geometry; symmetry = P-42_1m (113); calculated volume = 287.4 Å³ per cell
1.0
7.620 0.000 0.000
0.000 7.620 0.000
0.000 0.000 4.950
Li Fe P O
4 2 4 14
Cartesian
1.649 2.161 2.269
2.161 5.971 2.681
5.459 1.649 2.681
5.971 5.459 2.269
0.000 0.000 0.000
3.810 3.810 0.000
1.090 4.899 0.515
2.720 1.090 4.435
4.899 6.530 4.435
6.530 2.720 0.515
0.000 3.810 0.988
0.617 6.185 1.231
1.179 4.989 3.972
1.435 0.617 3.719
2.375 4.426 1.231
2.631 1.179 0.978
3.193 2.375 3.719
3.810 0.000 3.963
4.426 5.245 3.719
4.989 6.440 0.978
5.245 3.193 1.231
6.185 7.003 3.719
6.440 2.631 3.972
7.003 1.435 1.231

## 3
Li2FeP2O7 | Alexandria via LeMat-Bulk | meta-GGA SCAN | PBEsol geometry; symmetry = C2/c (15); calculated volume = 304.7 Å³ per cell
1.0
7.672 -2.502 0.000
7.672 2.502 0.000
-3.788 0.000 7.936
Li Fe P O
4 2 4 14
Cartesian
2.708 0.732 0.411
0.814 -0.732 4.379
10.742 0.732 3.557
8.848 -0.732 7.525
0.000 0.000 0.000
-1.894 0.000 3.968
3.504 0.689 5.418
6.158 0.689 6.486
5.398 -0.689 1.450
8.052 -0.689 2.518
4.021 1.746 4.422
2.882 1.372 6.650
4.515 0.358 0.839
5.642 1.746 7.482
6.780 1.372 5.254
2.621 -0.358 4.807
6.725 0.085 1.984
4.831 -0.085 5.952
8.935 0.358 3.129
4.776 -1.372 2.682
5.914 -1.746 0.454
7.041 -0.358 7.097
8.674 -1.372 1.286
7.536 -1.746 3.514

## 4
Li2FeP2O7 | Alexandria via LeMat-Bulk | meta-GGA SCAN | PBEsol geometry; symmetry = C2/m (12); calculated volume = 273.1 Å³ per cell
1.0
3.957 -6.325 0.000
3.957 6.325 0.000
-0.004 0.000 5.457
Li Fe P O
4 2 4 14
Cartesian
3.957 3.653 0.000
3.955 3.654 2.728
3.957 -3.653 0.000
3.955 -3.654 2.728
1.518 0.000 1.362
6.392 0.000 4.095
2.396 1.409 4.091
2.396 -1.409 4.091
5.513 1.409 1.366
5.513 -1.409 1.366
1.510 1.391 5.359
1.514 1.391 2.821
3.437 2.486 4.092
1.510 -1.391 5.359
1.514 -1.391 2.821
4.472 2.486 1.365
3.199 0.000 4.092
4.710 0.000 1.365
3.437 -2.486 4.092
6.395 1.391 2.636
6.399 1.391 0.098
4.472 -2.486 1.365
6.395 -1.391 2.636
6.399 -1.391 0.098

Relative stability in meV per atom, measured from the most stable structure: 1 35; 2 87; 3 0; 4 25